A plane-wave DFT calculation with GGA-PBE was carried out for an optimized crystal structure of Cr2WBr.

Cell: 4.9135 4.9135 4.4510 Å, 82.90 82.90 35.54°
Closest atoms and distances in Å follow each position.
Element x y z (fractional)
Cr 0.9837 0.9837 0.0351  2 W 2.43, 1 Br 2.57
Cr 0.2481 0.2481 0.2452  4 Br 2.59-2.78, 3 Cr 2.73-2.76, 3 W 2.73-2.74
Br 0.7564 0.7564 0.7680  5 Cr 2.57-2.78, 1 W 2.84
W 0.5118 0.5118 0.4517  2 Cr 2.43

Computed properties:
Crystal system   monoclinic
M_tot   1.0 Bohr magnetons per cell
Energy relative to the elements, uncorrected   3.4 eV per formula unit
V   15.5 A^3/atom
ΔE to the lowest computed polymorph   433 meV per atom